P.
The following is a DFT calculation (PBE) of an optimized crystal structure of NiWCl2.

a = 7.925 Å, b = 7.925 Å, c = 7.925 Å
α = 21.74°, β = 21.74°, γ = 21.74°
Fractional coordinates of all 4 atoms:
Ni (0.250, 0.250, 0.250)
W (0.750, 0.750, 0.750)
Cl (0.001, 0.001, 0.001)
Cl (0.499, 0.499, 0.499)

Values from the calculation:
space group = R-3m
DOS at the Fermi energy = 3.5 states/eV per cell


Q.
The following is a DFT calculation (PBE) of an optimized crystal structure of NiWCl2.

a = 4.565 Å, b = 4.565 Å, c = 4.565 Å
α = 127.84°, β = 127.84°, γ = 76.88°
Fractional coordinates of all 4 atoms:
Ni (0.250, 0.750, 0.500)
W (0.750, 0.250, 0.500)
Cl (0.000, 0.000, 0.000)
Cl (0.500, 0.500, 0.000)

Values from the calculation:
space group = I4/mmm
DOS at the Fermi energy = 2.2 states/eV per cell


R.
The following is a DFT calculation (PBE) of an optimized crystal structure of NiWCl2.

a = 4.517 Å, b = 4.517 Å, c = 4.517 Å
α = 60.00°, β = 60.00°, γ = 60.00°
Site moments in Bohr magnetons follow the coordinates.
Fractional coordinates of all 4 atoms:
Ni (0.500, 0.500, 0.500)  -0.15
W (0.250, 0.250, 0.250)  1.65
Cl (0.000, 0.000, 0.000)  -0.01
Cl (0.750, 0.750, 0.750)  0.10

Values from the calculation:
space group = F-43m
DOS at the Fermi energy = 1.0 states/eV per cell


The structure with the most favorable energy is P; the runner-up is 0.376 eV/atom above it.


P.
The following is a DFT calculation (PBE) of an optimized crystal structure of NiW2Cl.

a = 3.200 Å, b = 3.200 Å, c = 6.518 Å
α = 90.00°, β = 90.00°, γ = 90.00°
Fractional coordinates of all 4 atoms:
Cl (0.000, 0.000, 0.567)
Ni (0.500, 0.500, 0.772)
W (0.000, 0.000, 0.977)
W (0.500, 0.500, 0.185)

Values from the calculation:
space group = P4mm
DOS at the Fermi energy = 5.3 states/eV per cell


Q.
The following is a DFT calculation (PBE) of an optimized crystal structure of NiW2Cl.

a = 4.840 Å, b = 4.840 Å, c = 2.719 Å
α = 90.00°, β = 90.00°, γ = 111.52°
Fractional coordinates of all 4 atoms:
Cl (0.500, 0.000, 0.500)
Ni (0.000, 0.500, 0.500)
W (0.000, 0.000, 0.000)
W (0.500, 0.500, 0.000)

Values from the calculation:
space group = Cmmm
DOS at the Fermi energy = 3.2 states/eV per cell


R.
The following is a DFT calculation (PBE) of an optimized crystal structure of NiW2Cl.

a = 4.466 Å, b = 4.466 Å, c = 5.164 Å
α = 79.35°, β = 79.35°, γ = 36.35°
Fractional coordinates of all 4 atoms:
Cl (0.750, 0.750, 0.750)
Ni (0.250, 0.250, 0.250)
W (0.995, 0.995, 0.018)
W (0.505, 0.505, 0.482)

Values from the calculation:
space group = C2/m
DOS at the Fermi energy = 3.4 states/eV per cell


The structure with the most favorable energy is P; the runner-up is 0.210 eV/atom above it.


P.
The following is a DFT calculation (PBE) of an optimized crystal structure of NiW2Cl.

a = 4.434 Å, b = 4.434 Å, c = 4.434 Å
α = 60.00°, β = 60.00°, γ = 60.00°
Site moments in Bohr magnetons follow the coordinates.
Fractional coordinates of all 4 atoms:
Cl (0.500, 0.500, 0.500)  0.03
Ni (0.750, 0.750, 0.750)  0.56
W (0.000, 0.000, 0.000)  0.24
W (0.250, 0.250, 0.250)  0.11

Values from the calculation:
space group = F-43m
DOS at the Fermi energy = 5.1 states/eV per cell


Q.
The following is a DFT calculation (PBE) of an optimized crystal structure of NiW2Cl.

a = 2.813 Å, b = 2.813 Å, c = 8.742 Å
α = 90.00°, β = 90.00°, γ = 90.00°
Fractional coordinates of all 4 atoms:
Cl (0.000, 0.000, 0.440)
Ni (0.500, 0.500, 0.815)
W (0.000, 0.000, 0.001)
W (0.500, 0.500, 0.244)

Values from the calculation:
space group = P4mm
DOS at the Fermi energy = 3.1 states/eV per cell


The structure with the most favorable energy is Q; the runner-up is 0.715 eV/atom above it.